Below is a geometry-optimized Fe2SnAsO6 structure, with properties calculated at the GGA+U level.

Structure (POSCAR):
```
Fe2SnAsO6
1.0
5.287 0.000 0.000
-2.616 4.648 0.000
-2.583 -1.555 4.879
Fe Sn As O
2 1 1 6
direct
0.000 0.000 0.000
0.022 0.514 0.531
0.600 0.303 0.899
0.574 0.790 0.363
0.112 0.694 0.208
0.137 0.899 0.724
0.478 0.583 0.711
0.518 0.421 0.209
0.799 0.104 0.203
0.822 0.242 0.711
```

## Properties
VASP energy: -6.283 eV/atom
Total moment: 8.972 μB/f.u.